[1]
Computed, not measured: BaCd3P after structural relaxation at the PBEsol level of DFT.

ΔH_f (0 K) (eV per atom): 0.059

Unit cell a=5.213 b=5.213 c=5.213 alpha=90.00 beta=90.00 gamma=90.00
Fractional positions:
P: 0.000 0.000 0.000
Cd: 0.000 0.500 0.000
Cd: 0.000 0.000 0.500
Cd: 0.500 0.000 0.000
Ba: 0.500 0.500 0.500

---

[2]
Computed, not measured: BaCd2P2 after structural relaxation at the PBEsol level of DFT.

ΔH_f (0 K) (eV per atom): -0.586

Unit cell a=4.377 b=4.377 c=7.490 alpha=90.00 beta=90.00 gamma=120.00
Fractional positions:
Cd: 0.667 0.333 0.369
Cd: 0.333 0.667 0.631
P: 0.333 0.667 0.266
P: 0.667 0.333 0.734
Ba: 0.000 0.000 0.000